# PBE with a Hubbard U K2ZnCoF6, optimized geometry
# - Fermi-level density of states: 0.00 states/eV/atom
# - Raw total energy: -0.1648 Ha/atom
# - Symmetry: Immm, No. 71
# - Size of the total moment: 0.300 μB/atom
data_K2ZnCoF6
_cell_length_a 5.841
_cell_length_b 5.834
_cell_length_c 8.242
_cell_angle_alpha 90.00
_cell_angle_beta 90.00
_cell_angle_gamma 90.00
_symmetry_space_group_name_H-M 'P 1'
_symmetry_Int_Tables_number 1
_symmetry_space_group_name_Hall 'P 1'
loop_
_atom_site_label
_atom_site_type_symbol
_atom_site_fract_x
_atom_site_fract_y
_atom_site_fract_z
F1 F 0.500 0.250 0.251
F2 F 0.500 0.250 0.749
F3 F 0.751 0.500 0.500
F4 F 0.749 0.000 0.000
F5 F 0.751 0.000 0.500
F6 F 0.749 0.500 0.000
F7 F 0.251 0.000 0.000
F8 F 0.249 0.000 0.500
F9 F 0.000 0.750 0.751
F10 F 0.000 0.750 0.249
F11 F 0.251 0.500 0.000
F12 F 0.249 0.500 0.500
Zn1 Zn 0.500 0.250 0.000
Zn2 Zn 0.000 0.750 0.500
K1 K 0.500 0.750 0.751
K2 K 0.000 0.250 0.749
K3 K 0.500 0.750 0.249
K4 K 0.000 0.250 0.251
Co1 Co 0.000 0.750 0.000
Co2 Co 0.500 0.250 0.500